A plane-wave DFT calculation with GGA-PBE was carried out for an optimized crystal structure of Ti5Mn2Al2Fe.

Calculated values
- raw total energy (eV/atom) = -7.512
- space-group type = P4/mbm (127)
- calculated formation energy (eV per atom) = -0.136
- calculated volume (Å³ per cell) = 301.6
- magnetization (μB per formula unit) = 0.00

Unit cell a=9.982 b=9.982 c=3.027 alpha=90.00 beta=90.00 gamma=90.00
Fractional positions:
Ti 0.000 0.500 0.000
Ti 0.070 0.193 0.000
Ti 0.193 0.930 0.000
Ti 0.307 0.430 0.000
Ti 0.430 0.693 0.000
Ti 0.500 0.000 0.000
Ti 0.570 0.307 0.000
Ti 0.693 0.570 0.000
Ti 0.807 0.070 0.000
Ti 0.930 0.807 0.000
Mn 0.133 0.367 0.500
Mn 0.367 0.867 0.500
Mn 0.633 0.133 0.500
Mn 0.867 0.633 0.500
Al 0.173 0.673 0.500
Al 0.327 0.173 0.500
Al 0.673 0.827 0.500
Al 0.827 0.327 0.500
Fe 0.000 0.000 0.500
Fe 0.500 0.500 0.500



A plane-wave DFT calculation with GGA-PBE was carried out for an optimized crystal structure of SrCrGa3.

Calculated values
- raw total energy (eV/atom) = -4.296
- space-group type = Pm-3m (221)
- calculated formation energy (eV per atom) = -0.219
- calculated volume (Å³ per cell) = 108.9
- magnetization (μB per formula unit) = 0.75

Unit cell a=4.775 b=4.775 c=4.775 alpha=90.00 beta=90.00 gamma=90.00
Fractional positions:
Sr 0.000 0.000 0.000
Cr 0.500 0.500 0.500
Ga 0.000 0.500 0.500
Ga 0.500 0.000 0.500
Ga 0.500 0.500 0.000



A plane-wave DFT calculation with GGA-PBE was carried out for an optimized crystal structure of LiCd2Si.

Calculated values
- raw total energy (eV/atom) = -2.227
- space-group type = P2/m (10)
- ΔE_f (raw) (meV per atom) = 65
- calculated volume (Å³ per cell) = 77.9
- magnetization (μB per formula unit) = 0.00

Unit cell a=3.041 b=4.871 c=5.295 alpha=90.00 beta=96.45 gamma=90.00
Fractional positions:
Li 0.000 0.000 0.000
Cd 0.313 0.500 0.239
Cd 0.687 0.500 0.761
Si 0.500 0.000 0.500



A plane-wave DFT calculation with GGA-PBE was carried out for an optimized crystal structure of Eu3Gd.

Calculated values
- energy above the most stable polymorph in this dataset (meV/atom) = 7
- raw total energy (eV/atom) = -11.127
- space-group type = Fm-3m (225)
- calculated formation energy (eV per atom) = 0.099
- calculated volume (Å³ per cell) = 154.9
- magnetization (μB per formula unit) = 14.28

Unit cell a=6.029 b=6.029 c=6.029 alpha=60.00 beta=60.00 gamma=60.00
Fractional positions:
Eu 0.000 0.000 0.000
Eu 0.250 0.250 0.250
Eu 0.750 0.750 0.750
Gd 0.500 0.500 0.500



A plane-wave DFT calculation with GGA-PBE was carried out for an optimized crystal structure of SmY2Te4.

Calculated values
- energy above the most stable polymorph in this dataset (meV/atom) = 24
- raw total energy (eV/atom) = -5.705
- space-group type = Cmcm (63)
- ΔE_f (raw) (meV per atom) = -1388
- calculated volume (Å³ per cell) = 461.4
- magnetization (μB per formula unit) = 0.00

Unit cell a=7.497 b=7.497 c=14.997 alpha=90.00 beta=90.00 gamma=146.81
Fractional positions:
Sm 0.127 0.873 0.750
Sm 0.873 0.127 0.250
Y 0.369 0.631 0.569
Y 0.369 0.631 0.931
Y 0.631 0.369 0.069
Y 0.631 0.369 0.431
Te 0.000 0.000 0.000
Te 0.000 0.000 0.500
Te 0.277 0.723 0.121
Te 0.277 0.723 0.379
Te 0.465 0.535 0.750
Te 0.535 0.465 0.250
Te 0.723 0.277 0.621
Te 0.723 0.277 0.879